Entry 1:
10
Lattice="4.0411 0.0000 0.0000 0.0000 4.0411 0.0000 0.0000 0.0000 21.6857" Properties=species:S:1:pos:R:3 comment="Ac5PrCd4 | Alexandria | PBE | relaxed" magnetic_moment_mub_per_cell=0.022 delta_e_f_ev_per_atom=-0.23 sg="No. 123" final_energy_ev_per_cell=-31.26 pbc="T T T"
Ac 0.0000 0.0000 0.0000
Ac 0.0000 0.0000 4.1169
Ac 0.0000 0.0000 8.2482
Ac 0.0000 0.0000 13.4374
Ac 0.0000 0.0000 17.5688
Pr 2.0206 2.0206 10.8428
Cd 2.0206 2.0206 2.0517
Cd 2.0206 2.0206 6.2214
Cd 2.0206 2.0206 15.4643
Cd 2.0206 2.0206 19.6339

***

Entry 2:
5
Lattice="2.0080 -11.0833 0.0000 2.0080 11.0833 0.0000 0.0000 0.0000 3.9512" Properties=species:S:1:pos:R:3 comment="Ac2PrCd2 | Alexandria | PBE | relaxed" magnetic_moment_mub_per_cell=0.349 e_above_lowest_polymorph_mev_per_atom=0 delta_e_f_ev_per_atom=-0.16 sg="No. 65" final_energy_ev_per_cell=-15.64 pbc="T T T"
Ac 2.0080 7.2040 0.0000
Ac 2.0080 -7.2040 0.0000
Pr 0.0000 0.0000 0.0000
Cd 2.0080 1.7909 1.9756
Cd 2.0080 -1.7909 1.9756

***

Entry 3:
10
Lattice="3.9203 0.0000 0.0000 0.0000 3.9203 0.0000 0.0000 0.0000 19.6356" Properties=species:S:1:pos:R:3 comment="AcPr4Cd5 | Alexandria | PBE | relaxed" magnetic_moment_mub_per_cell=1.547 delta_e_f_ev_per_atom=-0.31 sg="No. 123" final_energy_ev_per_cell=-30.89 pbc="T T T"
Ac 0.0000 0.0000 0.0000
Pr 0.0000 0.0000 4.0658
Pr 0.0000 0.0000 7.9003
Pr 0.0000 0.0000 11.7353
Pr 0.0000 0.0000 15.5698
Cd 1.9602 1.9602 2.1902
Cd 1.9602 1.9602 5.9723
Cd 1.9602 1.9602 9.8178
Cd 1.9602 1.9602 13.6632
Cd 1.9602 1.9602 17.4454

***

Entry 4:
11
Lattice="4.2792 -8.1956 0.0000 4.2792 8.1956 0.0000 -3.4427 0.0000 4.2060" Properties=species:S:1:pos:R:3 comment="AcPr2Cd8 | Alexandria | PBE | relaxed" magnetic_moment_mub_per_cell=0.000 delta_e_f_ev_per_atom=-0.30 sg="No. 12" final_energy_ev_per_cell=-24.33 pbc="T T T"
Ac 0.0000 0.0000 0.0000
Pr 2.5579 3.1508 2.1030
Pr 2.5579 -3.1508 2.1030
Cd -0.5411 2.1189 3.0778
Cd 4.2792 4.8525 0.0000
Cd -0.5411 -2.1189 3.0778
Cd 1.6906 0.0000 3.1528
Cd 3.4252 0.0000 1.0532
Cd 5.6568 2.1189 1.1282
Cd 4.2792 -4.8525 0.0000
Cd 5.6568 -2.1189 1.1282